This record from Alexandria describes RbAc2Pm3Te6 after structural relaxation. The functional is GGA-PBE.

## Properties
For the size of the total moment, the calculation gives 0.0 Bohr magnetons per cell. The calculation puts the uncorrected formation energy at -1.414 eV per atom. The calculation puts the raw total energy at -4.9382 eV/atom. The space group is C2/m.

a = 4.5574 Å, b = 9.4801 Å, c = 10.4497 Å
α = 104.64°, β = 102.60°, γ = 90.00°
Positions (direct):
Rb: 0.5000 0.0000 0.0000
Ac: 0.8313 0.6614 0.6627
Ac: 0.1687 0.3386 0.3373
Pm: 0.5000 0.5000 0.0000
Pm: 0.8375 0.1784 0.6750
Pm: 0.1625 0.8216 0.3250
Te: 0.3249 0.9258 0.6499
Te: 0.6617 0.5909 0.3234
Te: 0.6751 0.0742 0.3501
Te: 0.9989 0.2692 0.9977
Te: 0.0011 0.7308 0.0023
Te: 0.3383 0.4091 0.6766


This record from Alexandria describes Pr2Dy after structural relaxation. The functional is GGA-PBE.

## Properties
For the size of the total moment, the calculation gives 0.0 Bohr magnetons per cell. The calculation puts the raw total energy at -4.6531 eV/atom. The energy above the most stable polymorph in this dataset comes out at 0.044 eV/atom. The space group is Cmcm. The calculation puts the formation energy at 6.5 kJ/mol of atoms.

a = 5.8055 Å, b = 5.8060 Å, c = 7.1242 Å
α = 90.00°, β = 90.00°, γ = 120.11°
Positions (direct):
Pr: 0.7500 0.7500 0.0000
Pr: 0.4167 0.0834 0.2500
Pr: 0.7500 0.7500 0.5000
Pr: 0.0833 0.4166 0.7500
Dy: 0.0837 0.4166 0.2500
Dy: 0.4163 0.0834 0.7500


This record from Alexandria describes Tb12GaRu6 after structural relaxation. The functional is GGA-PBE.

## Properties
For the size of the total moment, the calculation gives 0.0 Bohr magnetons per cell. The calculation puts the raw total energy at -6.1818 eV/atom. The energy above the most stable polymorph in this dataset comes out at 0.108 eV/atom. The space group is R-3. The calculation puts the formation energy at -16.3 kJ/mol of atoms.

a = 8.2441 Å, b = 8.2441 Å, c = 8.2441 Å
α = 102.26°, β = 102.26°, γ = 102.26°
Positions (direct):
Tb: 0.8242 0.5860 0.4511
Tb: 0.4511 0.8242 0.5860
Tb: 0.5860 0.4511 0.8242
Tb: 0.1758 0.4140 0.5489
Tb: 0.5489 0.1758 0.4140
Tb: 0.4140 0.5489 0.1758
Tb: 0.0720 0.9212 0.3321
Tb: 0.0788 0.6679 0.9280
Tb: 0.6679 0.9280 0.0788
Tb: 0.9280 0.0788 0.6679
Tb: 0.9212 0.3321 0.0720
Tb: 0.3321 0.0720 0.9212
Ga: 0.0000 0.0000 0.0000
Ru: 0.6945 0.8550 0.3877
Ru: 0.6123 0.3055 0.1450
Ru: 0.1450 0.6123 0.3055
Ru: 0.3055 0.1450 0.6123
Ru: 0.3877 0.6945 0.8550
Ru: 0.8550 0.3877 0.6945


> Which formula does entry 2 have?

Pr2Dy